HgSb2Se2: PBEsol geometry, SCAN.

The structure in extended XYZ format:
```
10
Lattice="8.166 0.000 0.000 0.000 8.166 0.000 0.000 0.000 3.633" Properties=species:S:1:pos:R:3 pbc="T T T"
Hg 0.000 0.000 0.000
Hg 4.083 4.083 0.000
Sb 1.249 2.834 1.817
Sb 2.834 6.917 1.817
Sb 5.332 1.249 1.817
Sb 6.917 5.332 1.817
Se 1.265 5.348 0.000
Se 2.818 1.265 0.000
Se 5.348 6.901 0.000
Se 6.901 2.818 0.000
```

Values from the calculation:
calculated volume = 242.3 Å³ per cell
magnetic moment = 0.0 μB/f.u.
ΔE_f (raw) = 217 meV per atom

Si2HgSb: PBEsol geometry, SCAN.

The structure in extended XYZ format:
```
4
Lattice="0.000 3.426 3.426 3.426 0.000 3.426 3.426 3.426 0.000" Properties=species:S:1:pos:R:3 pbc="T T T"
Si 0.000 0.000 0.000
Si 1.713 1.713 1.713
Hg 5.139 5.139 5.139
Sb 3.426 3.426 3.426
```

Values from the calculation:
calculated volume = 80.4 Å³ per cell
magnetic moment = 0.0 μB/f.u.
ΔE_f (raw) = 769 meV per atom
offset from the most stable computed form = 279 meV/atom

Si2HgSb: PBEsol geometry, SCAN.

The structure in extended XYZ format:
```
4
Lattice="-2.749 2.749 2.765 2.749 -2.749 2.765 2.749 2.749 -2.765" Properties=species:S:1:pos:R:3 pbc="T T T"
Si 2.749 0.000 0.000
Si 0.000 2.749 0.000
Hg 0.000 0.000 0.000
Sb 0.000 0.000 2.765
```

Values from the calculation:
calculated volume = 83.6 Å³ per cell
magnetic moment = 0.0 μB/f.u.
ΔE_f (raw) = 501 meV per atom
offset from the most stable computed form = 12 meV/atom

SiHgSb: PBEsol geometry, SCAN.

The structure in extended XYZ format:
```
3
Lattice="-1.706 1.706 5.661 1.706 -1.706 5.661 1.706 1.706 -5.661" Properties=species:S:1:pos:R:3 pbc="T T T"
Si 0.000 0.000 0.000
Hg 0.000 0.000 7.459
Sb 0.000 0.000 4.093
```

Values from the calculation:
calculated volume = 65.9 Å³ per cell
magnetic moment = 0.0 μB/f.u.
ΔE_f (raw) = 532 meV per atom

Si2HgSb: PBEsol geometry, SCAN.

The structure in extended XYZ format:
```
4
Lattice="-1.779 1.969 6.041 1.779 -1.969 6.041 1.779 1.969 -6.041" Properties=species:S:1:pos:R:3 pbc="T T T"
Si 0.000 0.000 0.000
Si 0.000 1.969 4.379
Hg 0.000 0.000 6.993
Sb 1.779 0.000 3.327
```

Values from the calculation:
calculated volume = 84.6 Å³ per cell
magnetic moment = 0.0 μB/f.u.
ΔE_f (raw) = 490 meV per atom
offset from the most stable computed form = 0 meV/atom

SnHgSbTe2: PBEsol geometry, SCAN.

The structure in extended XYZ format:
```
5
Lattice="5.531 0.000 0.000 0.000 5.531 0.000 0.000 0.000 5.390" Properties=species:S:1:pos:R:3 pbc="T T T"
Sn 0.000 0.000 0.000
Hg 2.766 2.766 2.695
Sb 2.766 2.766 0.000
Te 0.000 2.766 2.695
Te 2.766 0.000 2.695
```

Values from the calculation:
calculated volume = 164.9 Å³ per cell
magnetic moment = 0.0 μB/f.u.
ΔE_f (raw) = 606 meV per atom

Sr2HgSb2: PBEsol geometry, SCAN.

The structure in extended XYZ format:
```
10
Lattice="8.267 0.000 0.000 0.000 8.267 0.000 0.000 0.000 4.603" Properties=species:S:1:pos:R:3 pbc="T T T"
Sr 1.476 2.657 0.000
Sr 2.657 6.790 0.000
Sr 5.609 1.476 0.000
Sr 6.790 5.609 0.000
Hg 0.000 0.000 2.301
Hg 4.133 4.133 2.301
Sb 1.005 5.138 2.301
Sb 3.129 1.005 2.301
Sb 5.138 7.262 2.301
Sb 7.262 3.129 2.301
```

Values from the calculation:
calculated volume = 314.5 Å³ per cell
magnetic moment = 0.0 μB/f.u.
ΔE_f (raw) = -799 meV per atom

SrHg2Sb: PBEsol geometry, SCAN.

The structure in extended XYZ format:
```
4
Lattice="4.595 0.000 0.000 0.000 4.595 0.000 0.000 0.000 5.010" Properties=species:S:1:pos:R:3 pbc="T T T"
Sr 0.000 0.000 0.000
Hg 0.000 2.298 2.505
Hg 2.298 0.000 2.505
Sb 2.298 2.298 0.000
```

Values from the calculation:
calculated volume = 105.8 Å³ per cell
magnetic moment = 0.0 μB/f.u.
ΔE_f (raw) = -481 meV per atom

Repeat the eighth record exactly.
SrHg2Sb: PBEsol geometry, SCAN.

The structure in extended XYZ format:
```
4
Lattice="4.595 0.000 0.000 0.000 4.595 0.000 0.000 0.000 5.010" Properties=species:S:1:pos:R:3 pbc="T T T"
Sr 0.000 0.000 0.000
Hg 0.000 2.298 2.505
Hg 2.298 0.000 2.505
Sb 2.298 2.298 0.000
```

Values from the calculation:
calculated volume = 105.8 Å³ per cell
magnetic moment = 0.0 μB/f.u.
ΔE_f (raw) = -481 meV per atom

- The highest calculated volume belongs to which entry?
  Sr2HgSb2

- calculated volume of number 3 (Si2HgSb)?
  83.6 Å³ per cell